1.
The following is a DFT calculation (PBE-GGA) of HoPPd after structural relaxation. Values from VASP.

* final energy: -6.324 eV/atom
* DOS(E_F): 0.1510 states/eV per atom

Cell and atoms, written as Quantum ESPRESSO input:
```
&SYSTEM
  ibrav = 0, nat = 18, ntyp = 3
/
ATOMIC_SPECIES
Ho 164.93 Ho.upf
Pd 106.42 Pd.upf
P 30.97 P.upf
CELL_PARAMETERS angstrom
4.003 0.000 0.000
0.000 6.839 0.037
0.000 0.043 11.705
ATOMIC_POSITIONS crystal
Ho 0.750 0.664 0.078
Ho 0.750 0.532 0.377
Ho 0.250 0.468 0.623
Ho 0.750 0.035 0.292
Ho 0.250 0.965 0.708
Ho 0.250 0.336 0.922
Pd 0.750 0.626 0.794
Pd 0.250 0.996 0.092
Pd 0.250 0.853 0.458
Pd 0.750 0.004 0.908
Pd 0.750 0.147 0.542
Pd 0.250 0.374 0.206
P 0.750 0.250 0.086
P 0.750 0.752 0.582
P 0.750 0.259 0.750
P 0.250 0.248 0.418
P 0.250 0.750 0.914
P 0.250 0.741 0.250
```

---

2.
The following is a DFT calculation (PBE-GGA) of BaTaPt after structural relaxation. Values from VASP.

* final energy: -6.640 eV/atom
* DOS(E_F): 0.6319 states/eV per atom
* E above lowest polymorph: 0 meV/atom

Cell and atoms, written as Quantum ESPRESSO input:
```
&SYSTEM
  ibrav = 0, nat = 3, ntyp = 3
/
ATOMIC_SPECIES
Pt 195.08 Pt.upf
Ta 180.95 Ta.upf
Ba 137.33 Ba.upf
CELL_PARAMETERS angstrom
-1.971 -2.363 6.167
0.218 -4.834 4.908
2.513 1.088 2.232
ATOMIC_POSITIONS crystal
Pt 0.286 0.286 0.714
Ta 0.720 0.720 0.280
Ba 0.994 0.994 0.006
```

---

3.
The following is a DFT calculation (PBE-GGA) of TaReGe3 after structural relaxation. Values from VASP.

* final energy: -6.432 eV/atom
* DOS(E_F): 1.4406 states/eV per atom
* E above lowest polymorph: 0 meV/atom

Cell and atoms, written as Quantum ESPRESSO input:
```
&SYSTEM
  ibrav = 0, nat = 5, ntyp = 3
/
ATOMIC_SPECIES
Ge 72.64 Ge.upf
Ta 180.95 Ta.upf
Re 186.21 Re.upf
CELL_PARAMETERS angstrom
-1.987 -3.242 2.922
3.997 -2.642 -0.213
1.754 2.347 3.796
ATOMIC_POSITIONS crystal
Ge 0.000 0.500 0.000
Ge 0.500 0.000 0.000
Ge 0.000 0.000 0.500
Ta 0.500 0.500 0.500
Re 0.000 0.000 0.000
```

---

4.
The following is a DFT calculation (PBE-GGA) of Rb8AuI4Br3 after structural relaxation. Values from VASP.

* final energy: -2.823 eV/atom
* DOS(E_F): 0.0000 states/eV per atom
* formation energy (no corrections): -1434 meV per atom

Cell and atoms, written as Quantum ESPRESSO input:
```
&SYSTEM
  ibrav = 0, nat = 16, ntyp = 4
/
ATOMIC_SPECIES
Rb 85.47 Rb.upf
I 126.90 I.upf
Au 196.97 Au.upf
Br 79.90 Br.upf
CELL_PARAMETERS angstrom
-9.802 2.175 -2.117
-2.566 -2.111 9.714
7.330 6.903 -1.982
ATOMIC_POSITIONS crystal
Rb 0.745 0.734 0.489
Rb 0.754 0.265 0.011
Rb 0.257 0.265 0.011
Rb 0.246 0.735 0.989
Rb 0.753 0.265 0.507
Rb 0.255 0.266 0.511
Rb 0.743 0.735 0.989
Rb 0.247 0.735 0.493
I 0.000 0.000 0.500
I 0.000 0.000 0.000
I 0.500 0.000 0.000
I 0.500 0.000 0.500
Au 0.000 0.500 0.000
Br 0.500 0.500 0.000
Br 0.500 0.500 0.500
Br 0.000 0.500 0.500
```

---

- Look up the DOS(E_F) of the fourth one.
  0.0000 states/eV per atom

---

- Number 1 is which compound?
  HoPPd

---

- Which value of final energy does entry 3 give?
  -6.432 eV/atom

---

- What is the DOS(E_F) in the first record?
  0.1510 states/eV per atom